The following is a PBE-GGA calculation of crystalline Dy12HoEr5 at its relaxed geometry, from Alexandria.

Properties
- formation energy from the elements (eV per atom) = 0.0089
- density (kg/m3) = 8816
- M_tot (μB per cell) = 0.000

Cell lengths 6.121, 10.599, 17.258 Å; angles 90.00, 96.77, 90.00 degrees
Space group C2/m (No. 12)
One atom of each set of equivalent atoms:
1 Dy 0.112 0.000 0.333 [4 per cell]
2 Dy 0.112 0.333 0.333 [8 per cell]
3 Dy 0.223 0.167 0.166 [8 per cell]
4 Dy 0.223 0.500 0.166 [4 per cell]
5 Ho 0.000 0.000 0.000 [2 per cell]
6 Er 0.000 0.167 0.500 [4 per cell]
7 Er 0.000 0.333 0.000 [4 per cell]
8 Er 0.000 0.500 0.500 [2 per cell]